[1]
# P2OsSe (PBE, relaxed)
# * raw formation energy: 0.8 eV/f.u.
# * theoretical density: 6.83 g/cm³
data_P2OsSe
_cell_length_a 2.812
_cell_length_b 2.812
_cell_length_c 10.187
_cell_angle_alpha 90.00
_cell_angle_beta 90.00
_cell_angle_gamma 90.00
_symmetry_space_group_name_H-M 'P 4/m m m'
_symmetry_Int_Tables_number 123
_symmetry_space_group_name_Hall '-P 4 2'
loop_
_atom_site_label
_atom_site_fract_x
_atom_site_fract_y
_atom_site_fract_z
_atom_site_occupancy
P1 0.000 0.000 0.152 1
Os1 0.500 0.500 0.000 1
Se1 0.500 0.500 0.500 1

[2]
# FeOsAu2 (PBE, relaxed)
# * energy: -0.220 hartree per atom
# * theoretical density: 16.89 g/cm³
data_FeOsAu2
_cell_length_a 3.921
_cell_length_b 3.921
_cell_length_c 8.182
_cell_angle_alpha 90.00
_cell_angle_beta 90.00
_cell_angle_gamma 90.00
_symmetry_space_group_name_H-M 'I 4/m m m'
_symmetry_Int_Tables_number 139
_symmetry_space_group_name_Hall '-I 4 2'
loop_
_atom_site_label
_atom_site_fract_x
_atom_site_fract_y
_atom_site_fract_z
_atom_site_occupancy
Fe1 0.000 0.000 0.000 1
Os1 0.000 0.000 0.500 1
Au1 0.000 0.500 0.250 1

[3]
# Fe4NiRh (PBE, relaxed)
# * energy: -0.252 hartree per atom
# * theoretical density: 6.32 g/cm³
data_Fe4NiRh
_cell_length_a 6.787
_cell_length_b 7.081
_cell_length_c 4.208
_cell_angle_alpha 90.00
_cell_angle_beta 90.00
_cell_angle_gamma 90.00
_symmetry_space_group_name_H-M 'C m m m'
_symmetry_Int_Tables_number 65
_symmetry_space_group_name_Hall '-C 2 2'
loop_
_atom_site_label
_atom_site_fract_x
_atom_site_fract_y
_atom_site_fract_z
_atom_site_occupancy
Fe1 0.000 0.164 0.000 1
Fe2 0.178 0.500 0.500 1
Ni1 0.000 0.000 0.500 1
Rh1 0.000 0.500 0.000 1

[4]
# Ga3RuRh (PBE, relaxed)
# * energy: -0.175 hartree per atom
# * theoretical density: 6.81 g/cm³
data_Ga3RuRh
_cell_length_a 4.653
_cell_length_b 4.653
_cell_length_c 4.653
_cell_angle_alpha 90.00
_cell_angle_beta 90.00
_cell_angle_gamma 90.00
_symmetry_space_group_name_H-M 'P m -3 m'
_symmetry_Int_Tables_number 221
_symmetry_space_group_name_Hall '-P 4 2 3'
loop_
_atom_site_label
_atom_site_fract_x
_atom_site_fract_y
_atom_site_fract_z
_atom_site_occupancy
Ga1 0.000 0.000 0.500 1
Ru1 0.000 0.000 0.000 1
Rh1 0.500 0.500 0.500 1